# 1
# SbTe2PbBr, relaxed, DFT PBE
# * DFT total energy: -2.552 eV per atom
# * ΔE to the lowest computed polymorph: 0.0 meV/atom
# * magnetization: 0.02 μB/f.u.
data_SbTe2PbBr
_cell_length_a 5.694
_cell_length_b 5.694
_cell_length_c 5.504
_cell_angle_alpha 90.00
_cell_angle_beta 90.00
_cell_angle_gamma 90.00
_symmetry_space_group_name_H-M 'P 4/m m m'
_symmetry_Int_Tables_number 123
_symmetry_space_group_name_Hall '-P 4 2'
loop_
_atom_site_label
_atom_site_fract_x
_atom_site_fract_y
_atom_site_fract_z
Sb1 0.000 0.000 0.000
Te1 0.000 0.500 0.500
Pb1 0.500 0.500 0.000
Br1 0.000 0.000 0.500

# 2
# SbTe2PbBr, relaxed, DFT PBE
# * DFT total energy: -2.483 eV per atom
# * ΔE to the lowest computed polymorph: 68.6 meV/atom
# * magnetization: 0.47 μB/f.u.
data_SbTe2PbBr
_cell_length_a 5.809
_cell_length_b 5.809
_cell_length_c 6.054
_cell_angle_alpha 90.00
_cell_angle_beta 90.00
_cell_angle_gamma 90.00
_symmetry_space_group_name_H-M 'P 4/m m m'
_symmetry_Int_Tables_number 123
_symmetry_space_group_name_Hall '-P 4 2'
loop_
_atom_site_label
_atom_site_fract_x
_atom_site_fract_y
_atom_site_fract_z
Sb1 0.000 0.000 0.000
Te1 0.000 0.500 0.500
Pb1 0.000 0.000 0.500
Br1 0.500 0.500 0.000

# 3
# SbTe2Pb4Br, relaxed, DFT PBE
# * DFT total energy: -3.708 eV per atom
# * magnetization: 0.00 μB/f.u.
data_SbTe2Pb4Br
_cell_length_a 9.217
_cell_length_b 13.144
_cell_length_c 9.221
_cell_angle_alpha 90.00
_cell_angle_beta 90.00
_cell_angle_gamma 90.00
_symmetry_space_group_name_H-M 'F m m 2'
_symmetry_Int_Tables_number 42
_symmetry_space_group_name_Hall 'F 2 -2'
loop_
_atom_site_label
_atom_site_fract_x
_atom_site_fract_y
_atom_site_fract_z
Sb1 0.000 0.000 0.000
Te1 0.250 0.250 0.248
Pb1 0.000 0.233 0.999
Pb2 0.249 0.000 0.755
Br1 0.000 0.000 0.501

# 4
# Sb2TePbBr, relaxed, DFT PBE
# * DFT total energy: -2.697 eV per atom
# * ΔE to the lowest computed polymorph: 0.0 meV/atom
# * magnetization: 0.00 μB/f.u.
data_Sb2TePbBr
_cell_length_a 5.504
_cell_length_b 5.504
_cell_length_c 5.809
_cell_angle_alpha 90.00
_cell_angle_beta 90.00
_cell_angle_gamma 90.00
_symmetry_space_group_name_H-M 'P 4/m m m'
_symmetry_Int_Tables_number 123
_symmetry_space_group_name_Hall '-P 4 2'
loop_
_atom_site_label
_atom_site_fract_x
_atom_site_fract_y
_atom_site_fract_z
Sb1 0.000 0.500 0.000
Te1 0.000 0.000 0.500
Pb1 0.500 0.500 0.500
Br1 0.000 0.000 0.000

# 5
# Sb2TePbBr, relaxed, DFT PBE
# * DFT total energy: -2.602 eV per atom
# * ΔE to the lowest computed polymorph: 95.7 meV/atom
# * magnetization: 0.69 μB/f.u.
data_Sb2TePbBr
_cell_length_a 5.908
_cell_length_b 5.908
_cell_length_c 5.781
_cell_angle_alpha 90.00
_cell_angle_beta 90.00
_cell_angle_gamma 90.00
_symmetry_space_group_name_H-M 'P 4/m m m'
_symmetry_Int_Tables_number 123
_symmetry_space_group_name_Hall '-P 4 2'
loop_
_atom_site_label
_atom_site_fract_x
_atom_site_fract_y
_atom_site_fract_z
Sb1 0.000 0.500 0.000
Te1 0.000 0.000 0.500
Pb1 0.000 0.000 0.000
Br1 0.500 0.500 0.500

# 6
# SbPb2WBr, relaxed, DFT PBE
# * DFT total energy: -3.595 eV per atom
# * magnetization: 4.17 μB/f.u.
data_SbPb2WBr
_cell_length_a 5.577
_cell_length_b 5.577
_cell_length_c 5.480
_cell_angle_alpha 90.00
_cell_angle_beta 90.00
_cell_angle_gamma 90.00
_symmetry_space_group_name_H-M 'P 4/m m m'
_symmetry_Int_Tables_number 123
_symmetry_space_group_name_Hall '-P 4 2'
loop_
_atom_site_label
_atom_site_fract_x
_atom_site_fract_y
_atom_site_fract_z
Sb1 0.000 0.000 0.000
Pb1 0.000 0.500 0.500
W1 0.500 0.500 0.000
Br1 0.000 0.000 0.500

# 7
# ScPb2Br, relaxed, DFT PBE
# * DFT total energy: -4.076 eV per atom
# * ΔE to the lowest computed polymorph: 323.3 meV/atom
# * magnetization: 0.00 μB/f.u.
data_ScPb2Br
_cell_length_a 3.492
_cell_length_b 5.570
_cell_length_c 5.626
_cell_angle_alpha 90.00
_cell_angle_beta 90.00
_cell_angle_gamma 90.00
_symmetry_space_group_name_H-M 'P m m m'
_symmetry_Int_Tables_number 47
_symmetry_space_group_name_Hall '-P 2 2'
loop_
_atom_site_label
_atom_site_fract_x
_atom_site_fract_y
_atom_site_fract_z
Sc1 0.000 0.000 0.000
Pb1 0.000 0.500 0.500
Pb2 0.500 0.000 0.500
Br1 0.500 0.500 0.000

# 8
# ScPb2Br, relaxed, DFT PBE
# * DFT total energy: -3.963 eV per atom
# * ΔE to the lowest computed polymorph: 436.8 meV/atom
# * magnetization: 0.00 μB/f.u.
data_ScPb2Br
_cell_length_a 4.357
_cell_length_b 4.357
_cell_length_c 24.581
_cell_angle_alpha 90.00
_cell_angle_beta 90.00
_cell_angle_gamma 90.00
_symmetry_space_group_name_H-M 'I -4 2 d'
_symmetry_Int_Tables_number 122
_symmetry_space_group_name_Hall 'I -4 2bw'
loop_
_atom_site_label
_atom_site_fract_x
_atom_site_fract_y
_atom_site_fract_z
Sc1 0.000 0.000 0.000
Pb1 0.240 0.250 0.125
Br1 0.000 0.000 0.500